[1]
# InSi2Te

An optimized crystal structure of InSi2Te (PBE-GGA, Alexandria). Values from VASP.

Calculated values
**Total magnetic moment**: 0.00 μB/cell
**ΔE_f (raw)**: 0.356 eV/atom
**Calculated volume**: 93.8 Å³ per cell
**Polymorph energy (0 for the lowest one)**: 176.2 meV per atom

Quantum ESPRESSO input file:
```
&SYSTEM
  ibrav = 0, nat = 4, ntyp = 3
/
ATOMIC_SPECIES
In 114.82 In.upf
Si 28.09 Si.upf
Te 127.60 Te.upf
CELL_PARAMETERS angstrom
-1.7888 1.9681 6.6600
1.7888 -1.9681 6.6600
1.7888 1.9681 -6.6600
ATOMIC_POSITIONS angstrom
In 0.0000 0.0000 0.0000
Si 1.7888 0.0000 3.8781
Si 0.0000 0.0000 5.5256
Te 0.0000 1.9681 2.5327
```

---

[2]
# Y3Te2Rh

An optimized crystal structure of Y3Te2Rh (PBE-GGA, Alexandria). Values from VASP.

Calculated values
**Total magnetic moment**: 0.00 μB/cell
**ΔE_f (raw)**: -1.107 eV/atom
**Calculated volume**: 167.4 Å³ per cell

Quantum ESPRESSO input file:
```
&SYSTEM
  ibrav = 0, nat = 6, ntyp = 3
/
ATOMIC_SPECIES
Y 88.91 Y.upf
Te 127.60 Te.upf
Rh 102.91 Rh.upf
CELL_PARAMETERS angstrom
-2.0629 3.0556 6.6390
2.0629 -3.0556 6.6390
2.0629 3.0556 -6.6390
ATOMIC_POSITIONS angstrom
Y 0.0000 0.0000 0.0000
Y 0.0000 0.0000 4.8268
Y 0.0000 0.0000 8.4513
Te 2.0629 0.0000 2.3746
Te 0.0000 3.0556 4.2644
Rh 0.0000 3.0556 0.0000
```

---

[3]
# ZrSc2Ru

An optimized crystal structure of ZrSc2Ru (PBE-GGA, Alexandria). Values from VASP.

Calculated values
**Total magnetic moment**: 0.00 μB/cell
**Calculated volume**: 78.2 Å³ per cell
**E_form**: -0.167 eV per atom
**Polymorph energy (0 for the lowest one)**: 185.0 meV per atom

Quantum ESPRESSO input file:
```
&SYSTEM
  ibrav = 0, nat = 4, ntyp = 3
/
ATOMIC_SPECIES
Zr 91.22 Zr.upf
Sc 44.96 Sc.upf
Ru 101.07 Ru.upf
CELL_PARAMETERS angstrom
3.4547 0.0000 0.0000
0.0000 4.7280 0.0000
0.0000 0.0000 4.7884
ATOMIC_POSITIONS angstrom
Zr 0.0000 0.0000 0.0000
Sc 0.0000 2.3640 2.3942
Sc 1.7274 0.0000 2.3942
Ru 1.7274 2.3640 0.0000
```

---

[4]
# KBa2NaF

An optimized crystal structure of KBa2NaF (PBE-GGA, Alexandria). Values from VASP.

Calculated values
**Total magnetic moment**: 0.00 μB/cell
**ΔE_f (raw)**: -0.992 eV/atom
**Calculated volume**: 215.9 Å³ per cell
**Polymorph energy (0 for the lowest one)**: 0.0 meV per atom

Quantum ESPRESSO input file:
```
&SYSTEM
  ibrav = 0, nat = 5, ntyp = 4
/
ATOMIC_SPECIES
K 39.10 K.upf
Ba 137.33 Ba.upf
Na 22.99 Na.upf
F 19.00 F.upf
CELL_PARAMETERS angstrom
5.6906 0.0000 0.0000
0.0000 5.6906 0.0000
0.0000 0.0000 6.6657
ATOMIC_POSITIONS angstrom
K 0.0000 0.0000 0.0000
Ba 0.0000 2.8453 3.3328
Ba 2.8453 0.0000 3.3328
Na 2.8453 2.8453 0.0000
F 0.0000 0.0000 3.3328
```

---

[5]
# NpZnHg

An optimized crystal structure of NpZnHg (PBE-GGA, Alexandria). Values from VASP.

Calculated values
**Total magnetic moment**: 4.47 μB/cell
**Calculated volume**: 63.3 Å³ per cell
**E_form**: 0.061 eV per atom
**Polymorph energy (0 for the lowest one)**: 0.0 meV per atom

Quantum ESPRESSO input file:
```
&SYSTEM
  ibrav = 0, nat = 3, ntyp = 3
/
ATOMIC_SPECIES
Np 237.00 Np.upf
Zn 65.41 Zn.upf
Hg 200.59 Hg.upf
CELL_PARAMETERS angstrom
4.9679 0.0000 0.0000
-2.4839 4.3023 0.0000
0.0000 0.0000 2.9619
ATOMIC_POSITIONS angstrom
Np 0.0000 0.0000 0.0000
Zn 2.4839 1.4341 1.4809
Hg 0.0000 2.8682 1.4809
```

---

[6]
# U2RhS4Br

An optimized crystal structure of U2RhS4Br (PBE-GGA, Alexandria). Values from VASP.

Calculated values
**Total magnetic moment**: 4.25 μB/cell
**ΔE_f (raw)**: -1.037 eV/atom
**Calculated volume**: 178.4 Å³ per cell

Quantum ESPRESSO input file:
```
&SYSTEM
  ibrav = 0, nat = 8, ntyp = 4
/
ATOMIC_SPECIES
U 238.03 U.upf
Rh 102.91 Rh.upf
S 32.06 S.upf
Br 79.90 Br.upf
CELL_PARAMETERS angstrom
5.4897 -1.9304 0.0000
5.4897 1.9304 0.0000
-4.0406 0.0000 8.4180
ATOMIC_POSITIONS angstrom
U 0.9860 0.0000 2.3834
U 5.9528 0.0000 6.0346
Rh -2.0203 0.0000 4.2090
S -1.3295 0.0000 6.5294
S 1.9405 0.0000 4.8410
S 4.9983 0.0000 3.5770
S 8.2682 0.0000 1.8886
Br 5.4897 0.0000 0.0000
```

---

[7]
# InSiTe2Pd

An optimized crystal structure of InSiTe2Pd (PBE-GGA, Alexandria). Values from VASP.

Calculated values
**Total magnetic moment**: 0.00 μB/cell
**ΔE_f (raw)**: 0.556 eV/atom
**Calculated volume**: 140.5 Å³ per cell

Quantum ESPRESSO input file:
```
&SYSTEM
  ibrav = 0, nat = 5, ntyp = 4
/
ATOMIC_SPECIES
In 114.82 In.upf
Si 28.09 Si.upf
Te 127.60 Te.upf
Pd 106.42 Pd.upf
CELL_PARAMETERS angstrom
5.2562 0.0000 0.0000
0.0000 5.2562 0.0000
0.0000 0.0000 5.0850
ATOMIC_POSITIONS angstrom
In 0.0000 0.0000 0.0000
Si 0.0000 0.0000 2.5425
Te 0.0000 2.6281 2.5425
Te 2.6281 0.0000 2.5425
Pd 2.6281 2.6281 0.0000
```

---

[8]
# CsK4Au2

An optimized crystal structure of CsK4Au2 (PBE-GGA, Alexandria). Values from VASP.

Calculated values
**Total magnetic moment**: 0.00 μB/cell
**Calculated volume**: 650.3 Å³ per cell
**E_form**: -0.178 eV per atom
**Polymorph energy (0 for the lowest one)**: 0.0 meV per atom

Quantum ESPRESSO input file:
```
&SYSTEM
  ibrav = 0, nat = 14, ntyp = 3
/
ATOMIC_SPECIES
Cs 132.91 Cs.upf
K 39.10 K.upf
Au 196.97 Au.upf
CELL_PARAMETERS angstrom
9.3122 0.0000 0.0000
0.0000 7.5137 0.0000
-3.6654 0.0000 9.2946
ATOMIC_POSITIONS angstrom
Cs -1.2804 1.8784 3.2742
Cs 6.9272 5.6353 6.0204
K 1.9946 0.0051 0.6658
K 1.9946 3.7517 0.6658
K 0.3538 1.8784 7.2229
K 1.6538 5.6353 4.7954
K 3.9929 1.8784 4.4992
K 5.2930 5.6353 2.0717
K 3.6522 3.7620 8.6288
K 3.6522 7.5086 8.6288
Au -0.5972 5.6353 2.0832
Au 0.6846 5.6353 8.0943
Au 4.9622 1.8784 1.2003
Au 6.2440 1.8784 7.2114
```

---

[9]
# USbH

An optimized crystal structure of USbH (PBE-GGA, Alexandria). Values from VASP.

Calculated values
**Total magnetic moment**: 0.00 μB/cell
**Calculated volume**: 116.7 Å³ per cell
**Polymorph energy (0 for the lowest one)**: 311.6 meV per atom

Quantum ESPRESSO input file:
```
&SYSTEM
  ibrav = 0, nat = 6, ntyp = 3
/
ATOMIC_SPECIES
U 238.03 U.upf
Sb 121.76 Sb.upf
H 1.01 H.upf
CELL_PARAMETERS angstrom
5.4054 -1.8852 0.0000
5.4054 1.8852 0.0000
-2.1260 0.0000 5.7255
ATOMIC_POSITIONS angstrom
U 0.8088 0.0000 0.8812
U 7.8760 0.0000 4.8443
Sb 0.2015 0.0000 3.9241
Sb 8.4833 0.0000 1.8014
H 4.8111 0.0000 0.6175
H 3.8737 0.0000 5.1080
```

---

[10]
# Np3Si4Pd7

An optimized crystal structure of Np3Si4Pd7 (PBE-GGA, Alexandria). Values from VASP.

Calculated values
**Total magnetic moment**: 11.72 μB/cell
**ΔE_f (raw)**: -0.526 eV/atom
**Calculated volume**: 243.6 Å³ per cell

Quantum ESPRESSO input file:
```
&SYSTEM
  ibrav = 0, nat = 14, ntyp = 3
/
ATOMIC_SPECIES
Np 237.00 Np.upf
Si 28.09 Si.upf
Pd 106.42 Pd.upf
CELL_PARAMETERS angstrom
7.8057 -2.0001 0.0000
7.8057 2.0001 0.0000
-5.6305 0.0000 7.8014
ATOMIC_POSITIONS angstrom
Np 0.0000 0.0000 0.0000
Np 3.1956 0.0000 2.5045
Np 6.7853 0.0000 5.2969
Si -2.9642 0.0000 6.4518
Si 1.1429 0.0000 5.7525
Si 8.8380 0.0000 2.0489
Si 12.9450 0.0000 1.3496
Pd -2.8152 0.0000 3.9007
Pd 0.2416 0.0000 3.3289
Pd -0.6397 0.0000 7.5674
Pd 3.6344 0.0000 5.5684
Pd 6.3464 0.0000 2.2330
Pd 10.6205 0.0000 0.2340
Pd 9.7393 0.0000 4.4725
```

---

[11]
# ScAg3S

An optimized crystal structure of ScAg3S (PBE-GGA, Alexandria). Values from VASP.

Calculated values
**Total magnetic moment**: 0.33 μB/cell
**ΔE_f (raw)**: 0.401 eV/atom
**Calculated volume**: 113.1 Å³ per cell
**Polymorph energy (0 for the lowest one)**: 0.0 meV per atom

Quantum ESPRESSO input file:
```
&SYSTEM
  ibrav = 0, nat = 5, ntyp = 3
/
ATOMIC_SPECIES
Sc 44.96 Sc.upf
Ag 107.87 Ag.upf
S 32.06 S.upf
CELL_PARAMETERS angstrom
4.8361 0.0000 0.0000
0.0000 4.8361 0.0000
0.0000 0.0000 4.8361
ATOMIC_POSITIONS angstrom
Sc 0.0000 0.0000 0.0000
Ag 0.0000 2.4181 2.4181
Ag 2.4181 0.0000 2.4181
Ag 2.4181 2.4181 0.0000
S 2.4181 2.4181 2.4181
```

---

[12]
# Ga3HgGe3

An optimized crystal structure of Ga3HgGe3 (PBE-GGA, Alexandria). Values from VASP.

Calculated values
**Total magnetic moment**: 0.00 μB/cell
**Calculated volume**: 366.0 Å³ per cell
**E_form**: 0.249 eV per atom

Quantum ESPRESSO input file:
```
&SYSTEM
  ibrav = 0, nat = 14, ntyp = 3
/
ATOMIC_SPECIES
Ga 69.72 Ga.upf
Hg 200.59 Hg.upf
Ge 72.64 Ge.upf
CELL_PARAMETERS angstrom
7.1531 0.0000 0.0000
0.0000 7.1531 0.0000
0.0000 0.0000 7.1531
ATOMIC_POSITIONS angstrom
Ga 0.0000 1.7883 3.5765
Ga 0.0000 5.3648 3.5765
Ga 1.7883 3.5765 0.0000
Ga 3.5765 0.0000 1.7883
Ga 3.5765 0.0000 5.3648
Ga 5.3648 3.5765 0.0000
Hg 0.0000 0.0000 0.0000
Hg 3.5765 3.5765 3.5765
Ge 0.0000 3.5765 1.7883
Ge 0.0000 3.5765 5.3648
Ge 1.7883 0.0000 3.5765
Ge 3.5765 1.7883 0.0000
Ge 3.5765 5.3648 0.0000
Ge 5.3648 0.0000 3.5765
```

---

| no. | raw total energy (eV per atom) |
| --- | --- |
| 1 | -3.826 |
| 2 | -6.611 |
| 3 | -7.789 |
| 4 | -2.619 |
| 5 | -4.778 |
| 6 | -7.051 |
| 7 | -3.371 |
| 8 | -1.863 |
| 9 | -6.268 |
| 10 | -7.445 |
| 11 | -3.401 |
| 12 | -3.070 |